BaTcAs4 after structural relaxation. Source: the Alexandria database, functional PBE.

Lattice parameters (Å, degrees): 5.7924 5.7924 5.7924 60.00 60.00 60.00
Element x y z (fractional)
Ba 0.0000 0.0000 0.0000
Tc 0.7500 0.7500 0.7500
As 0.3793 0.3793 0.3793
As 0.3793 0.3793 0.8621
As 0.3793 0.8621 0.3793
As 0.8621 0.3793 0.3793

Computed properties:
* total DFT energy (no corrections): -4.77 eV per atom
* theoretical density: 6.46 g/cm3
* energy of formation from the pure elements: 378 meV per atom
* crystal system: cubic

BaTcAs2 after structural relaxation. Source: the Alexandria database, functional PBE.

Lattice parameters (Å, degrees): 7.5219 4.3480 6.2972 90.00 113.51 90.00
Element x y z (fractional)
Ba 0.0000 0.0000 0.0000
Ba 0.5000 0.5000 0.0000
Tc 0.0000 0.5000 0.5000
Tc 0.5000 0.0000 0.5000
As 0.2078 0.0000 0.6236
As 0.2922 0.5000 0.3764
As 0.7078 0.5000 0.6236
As 0.7922 0.0000 0.3764

Computed properties:
* total DFT energy (no corrections): -5.81 eV per atom
* theoretical density: 6.77 g/cm3
* energy of formation from the pure elements: -413 meV per atom
* crystal system: monoclinic

BaTc2As after structural relaxation. Source: the Alexandria database, functional PBE.

Lattice parameters (Å, degrees): 4.5253 4.5253 3.8779 90.00 90.00 90.00
Element x y z (fractional)
Ba 0.0000 0.0000 0.0000
Tc 0.0000 0.5000 0.5000
Tc 0.5000 0.0000 0.5000
As 0.5000 0.5000 0.0000

Computed properties:
* total DFT energy (no corrections): -5.86 eV per atom
* theoretical density: 8.54 g/cm3
* energy of formation from the pure elements: 970 meV per atom
* crystal system: tetragonal

BaTc2As after structural relaxation. Source: the Alexandria database, functional PBE.

Lattice parameters (Å, degrees): 4.7696 3.9996 5.7590 90.00 103.18 90.00
Element x y z (fractional)
Ba 0.0000 0.0000 0.0000
Tc 0.2383 0.5000 0.5792
Tc 0.7617 0.5000 0.4208
As 0.5000 0.0000 0.5000

Computed properties:
* total DFT energy (no corrections): -6.54 eV per atom
* theoretical density: 6.34 g/cm3
* energy of formation from the pure elements: 282 meV per atom
* crystal system: monoclinic

BaTc2As after structural relaxation. Source: the Alexandria database, functional PBE.

Lattice parameters (Å, degrees): 4.8963 4.8963 17.5436 90.00 90.00 90.00
Element x y z (fractional)
Ba 0.0000 0.2500 0.3750
Ba 0.0000 0.7500 0.6250
Ba 0.5000 0.2500 0.1250
Ba 0.5000 0.7500 0.8750
Tc 0.0000 0.0000 0.0000
Tc 0.0000 0.5000 0.0000
Tc 0.2500 0.2500 0.7500
Tc 0.2500 0.7500 0.2500
Tc 0.5000 0.0000 0.5000
Tc 0.5000 0.5000 0.5000
Tc 0.7500 0.2500 0.7500
Tc 0.7500 0.7500 0.2500
As 0.0000 0.2500 0.8750
As 0.0000 0.7500 0.1250
As 0.5000 0.2500 0.6250
As 0.5000 0.7500 0.3750

Computed properties:
* total DFT energy (no corrections): -6.50 eV per atom
* theoretical density: 6.45 g/cm3
* energy of formation from the pure elements: 328 meV per atom
* crystal system: tetragonal

BaTcAs3 after structural relaxation. Source: the Alexandria database, functional PBE.

Lattice parameters (Å, degrees): 5.5815 5.5815 5.5815 90.00 90.00 90.00
Element x y z (fractional)
Ba 0.0000 0.0000 0.0000
Tc 0.5000 0.5000 0.5000
As 0.0000 0.0000 0.5000
As 0.0000 0.5000 0.0000
As 0.5000 0.0000 0.0000

Computed properties:
* total DFT energy (no corrections): -3.04 eV per atom
* theoretical density: 4.39 g/cm3
* energy of formation from the pure elements: 2211 meV per atom
* crystal system: cubic